<i>
Material: YW2Cl
Method: DFT, GGA-PBE
State: relaxed

The structure belongs to space group Fm-3m (No. 225); the cell edges are 6.7081, 6.7081 and 6.7081 Å and the angles 90.00°, 90.00° and 90.00°. The distinct sites, in fractional coordinates, are Y at (0.0000, 0.0000, 0.0000), W at (0.2500, 0.2500, 0.2500) and Cl at (0.0000, 0.0000, 0.5000).

=====

<ii>
Material: YW2Cl
Method: DFT, GGA-PBE
State: relaxed

The structure belongs to space group Pmmm (No. 47); the cell edges are 3.1454, 4.3045 and 5.9077 Å and the angles 90.00°, 90.00° and 90.00°. The distinct sites, in fractional coordinates, are Y at (0.0000, 0.0000, 0.0000), W at (0.0000, 0.5000, 0.5000), W at (0.5000, 0.0000, 0.5000) and Cl at (0.5000, 0.5000, 0.0000).

=====

<iii>
Material: YW2Cl
Method: DFT, GGA-PBE
State: relaxed

The structure belongs to space group Imm2 (No. 44); the cell edges are 3.4142, 5.5622 and 8.7717 Å and the angles 90.00°, 90.00° and 90.00°. The distinct sites, in fractional coordinates, are Y at (0.0000, 0.0000, 0.0000), W at (0.0000, 0.0000, 0.4817), W at (0.0000, 0.5000, 0.1851) and Cl at (0.0000, 0.5000, 0.7570).

=====

<iv>
Material: YW2Cl
Method: DFT, GGA-PBE
State: relaxed

The structure belongs to space group P4/mmm (No. 123); the cell edges are 3.5430, 3.5430 and 6.2821 Å and the angles 90.00°, 90.00° and 90.00°. The distinct sites, in fractional coordinates, are Y at (0.0000, 0.0000, 0.0000), W at (0.5000, 0.5000, 0.3044) and Cl at (0.0000, 0.0000, 0.5000).

=====

The structure with the greatest stability is <ii>.